[1]
First-principles (PBE) data for a relaxed structure of Tb4GaSi3, as listed in the Alexandria database.

Results
- magnetic moment (μB/cell) = 0.000
- formation energy (no corrections) (kJ per mole of atoms) = -76

```
data_Tb4GaSi3
_chemical_formula_sum 'Tb4 Ga1 Si3'
_cell_length_a 3.906
_cell_length_b 4.316
_cell_length_c 10.703
_cell_angle_alpha 90.00
_cell_angle_beta 90.00
_cell_angle_gamma 90.00
_symmetry_space_group_name_H-M 'P m m 2'
_symmetry_Int_Tables_number 25
loop_
_symmetry_equiv_pos_as_xyz
'x,y,z'
'-x,-y,z'
'-x,y,z'
'x,-y,z'
loop_
_atom_site_label
_atom_site_type_symbol
_atom_site_fract_x
_atom_site_fract_y
_atom_site_fract_z
_atom_site_occupancy
Tb1 Tb 0.000 0.000 0.000 1
Tb2 Tb 0.000 0.500 0.495 1
Tb3 Tb 0.500 0.000 0.716 1
Tb4 Tb 0.500 0.500 0.217 1
Ga1 Ga 0.000 0.500 0.782 1
Si1 Si 0.000 0.000 0.282 1
Si2 Si 0.500 0.000 0.431 1
Si3 Si 0.500 0.500 0.935 1
```


[2]
First-principles (PBE) data for a relaxed structure of Tb5Ga2Si5, as listed in the Alexandria database.

Results
- magnetic moment (μB/cell) = 0.000
- formation energy (no corrections) (kJ per mole of atoms) = -62

```
data_Tb5Ga2Si5
_chemical_formula_sum 'Tb10 Ga4 Si10'
_cell_length_a 14.573
_cell_length_b 4.083
_cell_length_c 11.272
_cell_angle_alpha 90.00
_cell_angle_beta 130.05
_cell_angle_gamma 90.00
_symmetry_space_group_name_H-M 'C 1 2/m 1'
_symmetry_Int_Tables_number 12
loop_
_symmetry_equiv_pos_as_xyz
'x,y,z'
'-x,-y,-z'
'-x,y,-z'
'x,-y,z'
'x+1/2,y+1/2,z'
'-x+1/2,-y+1/2,-z'
'-x+1/2,y+1/2,-z'
'x+1/2,-y+1/2,z'
loop_
_atom_site_label
_atom_site_type_symbol
_atom_site_fract_x
_atom_site_fract_y
_atom_site_fract_z
_atom_site_occupancy
Tb1 Tb 0.000 0.000 0.000 1
Tb2 Tb 0.107 0.000 0.425 1
Tb3 Tb 0.201 0.000 0.833 1
Ga1 Ga 0.143 0.500 0.258 1
Si1 Si 0.000 0.500 0.500 1
Si2 Si 0.064 0.500 0.850 1
Si3 Si 0.238 0.500 0.677 1
```


[3]
First-principles (PBE) data for a relaxed structure of Tb3GaSi4, as listed in the Alexandria database.

Results
- magnetic moment (μB/cell) = 0.000
- formation energy (no corrections) (kJ per mole of atoms) = -47

```
data_Tb3GaSi4
_chemical_formula_sum 'Tb6 Ga2 Si8'
_cell_length_a 4.286
_cell_length_b 5.780
_cell_length_c 14.651
_cell_angle_alpha 90.00
_cell_angle_beta 90.00
_cell_angle_gamma 90.00
_symmetry_space_group_name_H-M 'I m m m'
_symmetry_Int_Tables_number 71
_symmetry_space_group_name_Hall '-I 2 2'
loop_
_atom_site_label
_atom_site_type_symbol
_atom_site_fract_x
_atom_site_fract_y
_atom_site_fract_z
_atom_site_occupancy
Tb1 Tb 0.000 0.000 0.000 1
Tb2 Tb 0.000 0.500 0.186 1
Ga1 Ga 0.000 0.000 0.500 1
Si1 Si 0.000 0.301 0.374 1
```


[4]
First-principles (PBE) data for a relaxed structure of Tb3Ga2Si2, as listed in the Alexandria database.

Results
- magnetic moment (μB/cell) = 0.000
- formation energy (no corrections) (kJ per mole of atoms) = -67
- relative energy among the computed polymorphs (eV/f.u.) = 0.12

```
data_Tb3Ga2Si2
_chemical_formula_sum 'Tb6 Ga4 Si4'
_cell_length_a 10.642
_cell_length_b 4.272
_cell_length_c 7.274
_cell_angle_alpha 90.00
_cell_angle_beta 112.31
_cell_angle_gamma 90.00
_symmetry_space_group_name_H-M 'C 1 2/m 1'
_symmetry_Int_Tables_number 12
loop_
_symmetry_equiv_pos_as_xyz
'x,y,z'
'-x,-y,-z'
'-x,y,-z'
'x,-y,z'
'x+1/2,y+1/2,z'
'-x+1/2,-y+1/2,-z'
'-x+1/2,y+1/2,-z'
'x+1/2,-y+1/2,z'
loop_
_atom_site_label
_atom_site_type_symbol
_atom_site_fract_x
_atom_site_fract_y
_atom_site_fract_z
_atom_site_occupancy
Tb1 Tb 0.000 0.000 0.000 1
Tb2 Tb 0.177 0.000 0.626 1
Ga1 Ga 0.189 0.500 0.928 1
Si1 Si 0.032 0.500 0.347 1
```


[5]
First-principles (PBE) data for a relaxed structure of Tb8Ga2Si, as listed in the Alexandria database.

Results
- magnetic moment (μB/cell) = 0.001
- formation energy (no corrections) (kJ per mole of atoms) = -32

```
data_Tb8Ga2Si
_chemical_formula_sum 'Tb16 Ga4 Si2'
_cell_length_a 18.717
_cell_length_b 4.955
_cell_length_c 6.622
_cell_angle_alpha 90.00
_cell_angle_beta 102.39
_cell_angle_gamma 90.00
_symmetry_space_group_name_H-M 'C 1 2/m 1'
_symmetry_Int_Tables_number 12
loop_
_symmetry_equiv_pos_as_xyz
'x,y,z'
'-x,-y,-z'
'-x,y,-z'
'x,-y,z'
'x+1/2,y+1/2,z'
'-x+1/2,-y+1/2,-z'
'-x+1/2,y+1/2,-z'
'x+1/2,-y+1/2,z'
loop_
_atom_site_label
_atom_site_type_symbol
_atom_site_fract_x
_atom_site_fract_y
_atom_site_fract_z
_atom_site_occupancy
Tb1 Tb 0.026 0.000 0.275 1
Tb2 Tb 0.090 0.500 0.954 1
Tb3 Tb 0.156 0.500 0.480 1
Tb4 Tb 0.211 0.000 0.818 1
Ga1 Ga 0.187 0.000 0.258 1
Si1 Si 0.000 0.500 0.500 1
```


[6]
First-principles (PBE) data for a relaxed structure of TbGa2SiTc2, as listed in the Alexandria database.

Results
- magnetic moment (μB/cell) = 0.000
- formation energy (no corrections) (kJ per mole of atoms) = -27

```
data_TbGa2SiTc2
_chemical_formula_sum 'Tb1 Ga2 Si1 Tc2'
_cell_length_a 4.498
_cell_length_b 4.498
_cell_length_c 5.550
_cell_angle_alpha 90.00
_cell_angle_beta 90.00
_cell_angle_gamma 90.00
_symmetry_space_group_name_H-M 'P 4/m m m'
_symmetry_Int_Tables_number 123
_symmetry_space_group_name_Hall '-P 4 2'
loop_
_atom_site_label
_atom_site_type_symbol
_atom_site_fract_x
_atom_site_fract_y
_atom_site_fract_z
_atom_site_occupancy
Tb1 Tb 0.000 0.000 0.000 1
Ga1 Ga 0.500 0.500 0.234 1
Si1 Si 0.000 0.000 0.500 1
Tc1 Tc 0.000 0.500 0.500 1
```


[7]
First-principles (PBE) data for a relaxed structure of TbThGaSi, as listed in the Alexandria database.

Results
- magnetic moment (μB/cell) = 0.000
- formation energy (no corrections) (kJ per mole of atoms) = -64

```
data_TbThGaSi
_chemical_formula_sum 'Tb2 Th2 Ga2 Si2'
_cell_length_a 4.029
_cell_length_b 4.373
_cell_length_c 10.954
_cell_angle_alpha 90.00
_cell_angle_beta 90.00
_cell_angle_gamma 90.00
_symmetry_space_group_name_H-M 'A m m 2'
_symmetry_Int_Tables_number 38
loop_
_symmetry_equiv_pos_as_xyz
'x,y,z'
'-x,-y,z'
'-x,y,z'
'x,-y,z'
'x,y+1/2,z+1/2'
'-x,-y+1/2,z+1/2'
'-x,y+1/2,z+1/2'
'x,-y+1/2,z+1/2'
loop_
_atom_site_label
_atom_site_type_symbol
_atom_site_fract_x
_atom_site_fract_y
_atom_site_fract_z
_atom_site_occupancy
Tb1 Tb 0.000 0.000 0.000 1
Th1 Th 0.500 0.000 0.717 1
Ga1 Ga 0.000 0.000 0.288 1
Si1 Si 0.500 0.000 0.436 1
```


[8]
First-principles (PBE) data for a relaxed structure of Tb2Tm2Ga4Si, as listed in the Alexandria database.

Results
- magnetic moment (μB/cell) = 0.000
- formation energy (no corrections) (kJ per mole of atoms) = -27

```
data_Tb2Tm2Ga4Si
_chemical_formula_sum 'Tb4 Tm4 Ga8 Si2'
_cell_length_a 6.895
_cell_length_b 6.895
_cell_length_c 8.796
_cell_angle_alpha 90.00
_cell_angle_beta 90.00
_cell_angle_gamma 90.00
_symmetry_space_group_name_H-M 'I 4/m m m'
_symmetry_Int_Tables_number 139
_symmetry_space_group_name_Hall '-I 4 2'
loop_
_atom_site_label
_atom_site_type_symbol
_atom_site_fract_x
_atom_site_fract_y
_atom_site_fract_z
_atom_site_occupancy
Tb1 Tb 0.000 0.000 0.196 1
Tm1 Tm 0.000 0.500 0.250 1
Ga1 Ga 0.249 0.249 0.500 1
Si1 Si 0.000 0.000 0.500 1
```


[9]
First-principles (PBE) data for a relaxed structure of TbTmGaSi, as listed in the Alexandria database.

Results
- magnetic moment (μB/cell) = 0.000
- formation energy (no corrections) (kJ per mole of atoms) = -72

```
data_TbTmGaSi
_chemical_formula_sum 'Tb2 Tm2 Ga2 Si2'
_cell_length_a 3.942
_cell_length_b 4.284
_cell_length_c 10.659
_cell_angle_alpha 90.00
_cell_angle_beta 90.00
_cell_angle_gamma 90.00
_symmetry_space_group_name_H-M 'A m m 2'
_symmetry_Int_Tables_number 38
loop_
_symmetry_equiv_pos_as_xyz
'x,y,z'
'-x,-y,z'
'-x,y,z'
'x,-y,z'
'x,y+1/2,z+1/2'
'-x,-y+1/2,z+1/2'
'-x,y+1/2,z+1/2'
'x,-y+1/2,z+1/2'
loop_
_atom_site_label
_atom_site_type_symbol
_atom_site_fract_x
_atom_site_fract_y
_atom_site_fract_z
_atom_site_occupancy
Tb1 Tb 0.000 0.000 0.000 1
Tm1 Tm 0.500 0.000 0.281 1
Ga1 Ga 0.500 0.000 0.566 1
Si1 Si 0.000 0.000 0.719 1
```


[10]
First-principles (PBE) data for a relaxed structure of TbYGaSi, as listed in the Alexandria database.

Results
- magnetic moment (μB/cell) = 0.001
- formation energy (no corrections) (kJ per mole of atoms) = -74

```
data_TbYGaSi
_chemical_formula_sum 'Tb2 Y2 Ga2 Si2'
_cell_length_a 3.967
_cell_length_b 4.318
_cell_length_c 10.758
_cell_angle_alpha 90.00
_cell_angle_beta 90.00
_cell_angle_gamma 90.00
_symmetry_space_group_name_H-M 'A m m 2'
_symmetry_Int_Tables_number 38
loop_
_symmetry_equiv_pos_as_xyz
'x,y,z'
'-x,-y,z'
'-x,y,z'
'x,-y,z'
'x,y+1/2,z+1/2'
'-x,-y+1/2,z+1/2'
'-x,y+1/2,z+1/2'
'x,-y+1/2,z+1/2'
loop_
_atom_site_label
_atom_site_type_symbol
_atom_site_fract_x
_atom_site_fract_y
_atom_site_fract_z
_atom_site_occupancy
Tb1 Tb 0.000 0.000 0.000 1
Y1 Y 0.500 0.000 0.281 1
Ga1 Ga 0.500 0.000 0.566 1
Si1 Si 0.000 0.000 0.717 1
```


[11]
First-principles (PBE) data for a relaxed structure of Tb2Y2Ga4Si, as listed in the Alexandria database.

Results
- magnetic moment (μB/cell) = 0.000
- formation energy (no corrections) (kJ per mole of atoms) = -31

```
data_Tb2Y2Ga4Si
_chemical_formula_sum 'Tb4 Y4 Ga8 Si2'
_cell_length_a 6.951
_cell_length_b 6.951
_cell_length_c 8.762
_cell_angle_alpha 90.00
_cell_angle_beta 90.00
_cell_angle_gamma 90.00
_symmetry_space_group_name_H-M 'I 4/m m m'
_symmetry_Int_Tables_number 139
_symmetry_space_group_name_Hall '-I 4 2'
loop_
_atom_site_label
_atom_site_type_symbol
_atom_site_fract_x
_atom_site_fract_y
_atom_site_fract_z
_atom_site_occupancy
Tb1 Tb 0.000 0.000 0.194 1
Y1 Y 0.000 0.500 0.250 1
Ga1 Ga 0.248 0.248 0.500 1
Si1 Si 0.000 0.000 0.500 1
```


[12]
First-principles (PBE) data for a relaxed structure of GaSiTc2, as listed in the Alexandria database.

Results
- magnetic moment (μB/cell) = 0.000
- formation energy (no corrections) (kJ per mole of atoms) = -17
- relative energy among the computed polymorphs (eV/f.u.) = 0.35

```
data_GaSiTc2
_chemical_formula_sum 'Ga3 Si3 Tc6'
_cell_length_a 2.8830
_cell_length_b 2.8830
_cell_length_c 23.8749
_cell_angle_alpha 90.00
_cell_angle_beta 90.00
_cell_angle_gamma 120.00
_symmetry_space_group_name_H-M 'R 3 m'
_symmetry_Int_Tables_number 160
_symmetry_space_group_name_Hall 'R 3 -2"'
loop_
_atom_site_label
_atom_site_type_symbol
_atom_site_fract_x
_atom_site_fract_y
_atom_site_fract_z
_atom_site_occupancy
Ga1 Ga 0.0000 0.0000 0.0000 1
Si1 Si 0.0000 0.0000 0.1666 1
Tc1 Tc 0.0000 0.0000 0.5797 1
Tc2 Tc 0.0000 0.0000 0.7538 1
```


Q: Which value of magnetic moment does entry 3 give?
A: 0.000 μB/cell